Compound: SmTh2Ge
Source: Alexandria via LeMat-Bulk
Functional: PBE
Structure: relaxed

abc: 4.857 4.766 4.766
angles: 90.00 90.00 90.00
Fractional coordinates of all 4 atoms:
Ge 0.500 0.000 0.000
Sm 0.500 0.500 0.500
Th 0.000 0.000 0.500
Th 0.000 0.500 0.000

The energy is -6.306 eV/atom. The value obtained for the calculated formation energy is -0.26 eV per atom.